NbCuRuRh after structural relaxation, computed with PBE-GGA.

Cell lengths 3.6143, 3.9685, 4.0379 Å; angles 90.00, 90.00, 90.00 degrees
With the nearest neighbours (Å) after each atom.
Space group Pmmm (No. 47)
Inequivalent atoms, fractional coordinates:
1 Nb 0.0000 0.0000 0.0000  4 Ru 2.68, 4 Rh 2.71, 4 Cu 2.83
2 Cu 0.0000 0.5000 0.5000  4 Rh 2.68, 4 Ru 2.71, 4 Nb 2.83
3 Ru 0.5000 0.5000 0.0000  4 Nb 2.68, 4 Cu 2.71, 4 Rh 2.83
4 Rh 0.5000 0.0000 0.5000  4 Cu 2.68, 4 Nb 2.71, 4 Ru 2.83

## Properties
density of states at the Fermi level	1.018	states/eV/atom
ΔH_f (0 K)	-0.224	eV per atom
energy	-7.923	eV/atom
V	14.48	Å³/atom